1.
The following is a PBE-GGA calculation of a relaxed ZrBeCdPd crystal, from Alexandria.

Properties
Raw total energy   -4.8370 eV per atom
DFT formation energy   -0.241 eV per atom
Symmetry   F-43m

abc: 6.4447 6.4447 6.4447
angles: 90.00 90.00 90.00
Closest atoms and distances in Å follow each position.
Atoms (fractional coordinates):
Zr (0.0000, 0.0000, 0.0000)  4 Pd 2.79, 4 Be 2.79
Zr (0.0000, 0.5000, 0.5000)  4 Pd 2.79, 4 Be 2.79
Zr (0.5000, 0.0000, 0.5000)  4 Pd 2.79, 4 Be 2.79
Zr (0.5000, 0.5000, 0.0000)  4 Pd 2.79, 4 Be 2.79
Be (0.2500, 0.2500, 0.2500)  4 Zr 2.79, 4 Cd 2.79
Be (0.2500, 0.7500, 0.7500)  4 Zr 2.79, 4 Cd 2.79
Be (0.7500, 0.2500, 0.7500)  4 Zr 2.79, 4 Cd 2.79
Be (0.7500, 0.7500, 0.2500)  4 Zr 2.79, 4 Cd 2.79
Cd (0.0000, 0.0000, 0.5000)  4 Be 2.79, 4 Pd 2.79
Cd (0.0000, 0.5000, 0.0000)  4 Be 2.79, 4 Pd 2.79
Cd (0.5000, 0.0000, 0.0000)  4 Be 2.79, 4 Pd 2.79
Cd (0.5000, 0.5000, 0.5000)  4 Be 2.79, 4 Pd 2.79
Pd (0.2500, 0.2500, 0.7500)  4 Cd 2.79, 4 Zr 2.79
Pd (0.2500, 0.7500, 0.2500)  4 Cd 2.79, 4 Zr 2.79
Pd (0.7500, 0.2500, 0.2500)  4 Cd 2.79, 4 Zr 2.79
Pd (0.7500, 0.7500, 0.7500)  4 Cd 2.79, 4 Zr 2.79


2.
The following is a PBE-GGA calculation of a relaxed CePrIrO6 crystal, from Alexandria.

Properties
Raw total energy   -7.7510 eV per atom
Raw formation energy   -2270.6 meV/atom
Symmetry   P-31c

abc: 5.5594 5.5594 10.1605
angles: 90.00 90.00 120.00
Closest atoms and distances in Å follow each position.
Atoms (fractional coordinates):
Ce (0.3333, 0.6667, 0.2500)  6 O 2.26
Ce (0.6667, 0.3333, 0.7500)  6 O 2.26
Pr (0.0000, 0.0000, 0.0000)  6 O 2.42
Pr (0.0000, 0.0000, 0.5000)  6 O 2.42
Ir (0.3333, 0.6667, 0.7500)  6 O 1.99
Ir (0.6667, 0.3333, 0.2500)  6 O 1.99
O (0.0376, 0.3712, 0.6395)  1 Ir 1.99
O (0.0376, 0.6665, 0.8605)  1 Ir 1.99
O (0.3335, 0.3712, 0.8605)  1 Ir 1.99
O (0.3335, 0.9624, 0.6395)  1 Ir 1.99
O (0.3712, 0.0376, 0.1395)  1 Ir 1.99
O (0.3712, 0.3335, 0.3605)  1 Ir 1.99
O (0.6288, 0.6665, 0.6395)  1 Ir 1.99
O (0.6288, 0.9624, 0.8605)  1 Ir 1.99
O (0.6665, 0.0376, 0.3605)  1 Ir 1.99
O (0.6665, 0.6288, 0.1395)  1 Ir 1.99
O (0.9624, 0.3335, 0.1395)  1 Ir 1.99
O (0.9624, 0.6288, 0.3605)  1 Ir 1.99


3.
The following is a PBE-GGA calculation of a relaxed Pa3GeTe2 crystal, from Alexandria.

Properties
Raw total energy   -7.1519 eV per atom
Raw formation energy   -587.2 meV/atom
Symmetry   C2/m

abc: 7.4132 7.4132 7.3675
angles: 99.64 99.64 119.79
Closest atoms and distances in Å follow each position.
Atoms (fractional coordinates):
Pa (0.0719, 0.4200, 0.7657)  2 Ge 2.89-2.90, 4 Te 3.06-3.15
Pa (0.2226, 0.2226, 0.2224)  2 Ge 2.89, 4 Te 3.03-3.12
Pa (0.4200, 0.0719, 0.7657)  2 Ge 2.89-2.90, 4 Te 3.06-3.15
Pa (0.5800, 0.9281, 0.2343)  2 Ge 2.89-2.90, 4 Te 3.06-3.15
Pa (0.7774, 0.7774, 0.7776)  2 Ge 2.89, 4 Te 3.03-3.12
Pa (0.9281, 0.5800, 0.2343)  2 Ge 2.89-2.90, 4 Te 3.06-3.15
Ge (0.1701, 0.8299, 0.0000)  6 Pa 2.89-2.90
Ge (0.8299, 0.1701, 0.0000)  6 Pa 2.89-2.90
Te (0.0000, 0.0000, 0.5000)  6 Pa 3.03-3.13
Te (0.3424, 0.6576, 0.5000)  6 Pa 3.07-3.15
Te (0.5000, 0.5000, 0.0000)  6 Pa 3.03-3.06
Te (0.6576, 0.3424, 0.5000)  6 Pa 3.07-3.15


4.
The following is a PBE-GGA calculation of a relaxed Ag2WAu crystal, from Alexandria.

Properties
Polymorph energy (0 for the lowest one)   275 meV per atom
Raw total energy   -4.8807 eV per atom
DFT formation energy   0.603 eV per atom
Symmetry   Imm2

abc: 2.7616 5.0874 10.1131
angles: 90.00 90.00 90.00
Closest atoms and distances in Å follow each position.
Atoms (fractional coordinates):
Ag (0.0000, 0.0000, 0.0000)  4 Ag 2.76-2.96, 4 W 2.90, 2 Au 2.91
Ag (0.0000, 0.5000, 0.2413)  4 Ag 2.76-2.96, 2 W 2.89, 4 Au 2.90
Ag (0.5000, 0.0000, 0.7413)  4 Ag 2.76-2.96, 2 W 2.89, 4 Au 2.90
Ag (0.5000, 0.5000, 0.5000)  4 Ag 2.76-2.96, 4 W 2.90, 2 Au 2.91
W (0.0000, 0.0000, 0.4900)  2 Au 2.76, 2 W 2.76, 6 Ag 2.89-2.90
W (0.5000, 0.5000, 0.9900)  2 Au 2.76, 2 W 2.76, 6 Ag 2.89-2.90
Au (0.0000, 0.5000, 0.7537)  2 W 2.76, 2 Au 2.76, 6 Ag 2.90-2.91
Au (0.5000, 0.0000, 0.2537)  2 W 2.76, 2 Au 2.76, 6 Ag 2.90-2.91


5.
The following is a PBE-GGA calculation of a relaxed KSbPt4 crystal, from Alexandria.

Properties
Raw total energy   -4.9902 eV per atom
Raw formation energy   -93.0 meV/atom
Symmetry   F-43m

abc: 5.4657 5.4657 5.4657
angles: 60.00 60.00 60.00
Closest atoms and distances in Å follow each position.
Atoms (fractional coordinates):
K (0.0000, 0.0000, 0.0000)  12 Pt 3.21, 4 Sb 3.35
Sb (0.2500, 0.2500, 0.2500)  12 Pt 3.20, 4 K 3.35
Pt (0.1259, 0.6247, 0.6247)  6 Pt 2.73-2.74
Pt (0.6247, 0.1259, 0.6247)  6 Pt 2.73-2.74
Pt (0.6247, 0.6247, 0.1259)  6 Pt 2.73-2.74
Pt (0.6247, 0.6247, 0.6247)  6 Pt 2.73-2.74


6.
The following is a PBE-GGA calculation of a relaxed AcZrCu2 crystal, from Alexandria.

Properties
Polymorph energy (0 for the lowest one)   0 meV per atom
Raw total energy   -5.2318 eV per atom
DFT formation energy   -0.020 eV per atom
Symmetry   P4/mmm

abc: 3.5011 3.5011 7.1760
angles: 90.00 90.00 90.00
Closest atoms and distances in Å follow each position.
Atoms (fractional coordinates):
Ac (0.0000, 0.0000, 0.0000)  8 Cu 3.34, 4 Ac 3.50, 2 Zr 3.59
Zr (0.0000, 0.0000, 0.5000)  8 Cu 2.82
Cu (0.5000, 0.5000, 0.3132)  1 Cu 2.68, 4 Zr 2.82
Cu (0.5000, 0.5000, 0.6868)  1 Cu 2.68, 4 Zr 2.82